A relaxed BaSmMoO6 crystal. Source: Alexandria via LeMat-Bulk, functional GGA+U.

**Size of the total moment**: 1.02 μB per formula unit
**E_tot**: -63.728 eV per cell

CIF file:
```
data_BaSmMoO6
_chemical_formula_sum 'Ba1 Sm1 Mo1 O6'
_cell_length_a 5.8228
_cell_length_b 5.8228
_cell_length_c 5.5992
_cell_angle_alpha 90.92
_cell_angle_beta 89.08
_cell_angle_gamma 57.64
_space_group_name_H-M_alt 'P 1'
_space_group_IT_number 1
loop_
_space_group_symop_operation_xyz
'x,y,z'
loop_
_atom_site_label
_atom_site_type_symbol
_atom_site_fract_x
_atom_site_fract_y
_atom_site_fract_z
Ba1 Ba 0.9985 0.9985 0.0000
Sm1 Sm 0.6674 0.6674 0.5000
Mo1 Mo 0.3460 0.3460 0.5000
O1 O 0.0462 0.3562 0.2960
O2 O 0.3562 0.0462 0.7040
O3 O 0.6092 0.3454 0.6912
O4 O 0.0424 0.5887 0.7082
O5 O 0.3453 0.6092 0.3088
O6 O 0.5887 0.0425 0.2917
```